Entry w
Compound: SmTm2Zr
Source: the Alexandria database
Functional: PBE
Structure: relaxed

Cell and atoms, written as POSCAR:
```
SmTm2Zr
1.0
3.451 0.000 0.000
1.726 2.989 0.000
1.726 0.996 11.167
Sm Tm Zr
1 2 1
direct
0.500 0.500 0.499
0.078 0.078 0.767
0.256 0.256 0.233
0.666 0.666 0.001
```

DOS(E_F) = 6.57 states/eV per cell



Entry x
Compound: SmTm2Zr
Source: the Alexandria database
Functional: PBE
Structure: relaxed

Cell and atoms, written as POSCAR:
```
SmTm2Zr
1.0
3.972 0.000 0.000
0.000 3.972 0.000
0.000 0.000 7.376
Tm Zr Sm
2 1 1
direct
0.000 0.000 0.779
0.000 0.000 0.221
0.500 0.500 0.000
0.500 0.500 0.500
```

DOS(E_F) = 8.31 states/eV per cell



Which one sits at the top of the stability order? entry w does.



Entry w
Compound: SmTmZr
Source: the Alexandria database
Functional: PBE
Structure: relaxed

Cell and atoms, written as POSCAR:
```
SmTmZr
1.0
4.885 0.000 0.007
0.000 3.369 0.004
-0.014 -1.668 10.304
Sm Tm Zr
2 2 2
direct
0.347 0.047 0.511
0.847 0.943 0.312
0.347 0.360 0.143
0.847 0.630 0.680
0.847 0.782 0.985
0.347 0.208 0.838
```

DOS(E_F) = 8.27 states/eV per cell



Entry x
Compound: SmTmZr
Source: the Alexandria database
Functional: PBE
Structure: relaxed

Cell and atoms, written as POSCAR:
```
SmTmZr
1.0
-1.655 2.682 -1.322
-1.072 -3.173 -0.679
-5.008 0.245 6.763
Tm Zr Sm
1 1 1
direct
0.333 0.667 0.647
0.667 0.333 0.336
0.000 0.000 0.016
```

DOS(E_F) = 3.13 states/eV per cell



Entry y
Compound: SmTmZr
Source: the Alexandria database
Functional: PBE
Structure: relaxed

Cell and atoms, written as POSCAR:
```
SmTmZr
1.0
3.396 0.000 0.000
0.000 3.396 0.000
-1.698 -1.698 7.405
Tm Zr Sm
1 1 1
direct
0.679 0.679 0.358
0.330 0.330 0.660
0.991 0.991 0.982
```

DOS(E_F) = 4.42 states/eV per cell



Which one sits at the top of the stability order? entry y does.



Entry w
Compound: Sm2Tm6Zr
Source: the Alexandria database
Functional: PBE
Structure: relaxed

Cell and atoms, written as POSCAR:
```
Sm2Tm6Zr
1.0
-0.074 2.425 2.362
0.818 -6.617 6.820
7.747 6.376 -1.412
Sm Tm Zr
2 6 1
direct
0.333 0.333 0.667
0.667 0.667 0.333
0.826 0.000 0.675
0.174 0.325 0.325
0.174 0.000 0.325
0.500 0.325 0.000
0.826 0.675 0.675
0.500 0.675 0.000
0.000 0.000 0.000
```

DOS(E_F) = 13.63 states/eV per cell



Entry x
Compound: Sm2Tm6Zr
Source: the Alexandria database
Functional: PBE
Structure: relaxed

Cell and atoms, written as POSCAR:
```
Sm2Tm6Zr
1.0
-1.571 -5.601 -0.592
3.335 -1.151 -9.319
9.209 -3.802 0.180
Sm Tm Zr
4 12 2
direct
0.435 0.571 0.776
0.065 0.224 0.429
0.565 0.429 0.224
0.935 0.776 0.571
0.484 0.688 0.416
0.016 0.584 0.312
0.516 0.312 0.584
0.984 0.416 0.688
0.641 0.058 0.347
0.859 0.653 0.942
0.359 0.942 0.653
0.141 0.347 0.058
0.310 0.787 0.008
0.190 0.992 0.213
0.690 0.213 0.992
0.810 0.008 0.787
0.250 0.127 0.873
0.750 0.873 0.127
```

DOS(E_F) = 26.38 states/eV per cell



Which one sits at the top of the stability order? entry w does.



Entry w
Compound: Sm12Tm7Zr
Source: the Alexandria database
Functional: PBE
Structure: relaxed

Cell and atoms, written as POSCAR:
```
Sm12Tm7Zr
1.0
-4.488 -1.435 -3.875
9.024 -3.912 -5.802
-3.238 -5.987 9.168
Sm Tm Zr
12 7 1
direct
0.086 0.586 0.173
0.087 0.173 0.587
0.575 0.648 0.001
0.426 0.001 0.353
0.500 0.413 0.586
0.073 0.647 0.648
0.927 0.353 0.352
0.500 0.587 0.414
0.574 0.999 0.647
0.425 0.352 0.999
0.913 0.827 0.413
0.914 0.414 0.827
0.116 0.760 0.001
0.885 0.001 0.241
0.644 0.759 0.760
0.500 0.000 0.000
0.356 0.241 0.240
0.115 0.999 0.759
0.884 0.240 0.999
0.000 0.000 0.000
```

DOS(E_F) = 30.46 states/eV per cell



Entry x
Compound: Sm12Tm7Zr
Source: the Alexandria database
Functional: PBE
Structure: relaxed

Cell and atoms, written as POSCAR:
```
Sm12Tm7Zr
1.0
-6.308 -3.576 6.833
-1.569 -3.784 -9.082
9.531 -0.575 2.845
Sm Tm Zr
12 7 1
direct
0.784 0.216 0.500
0.784 0.500 0.216
0.348 0.051 0.348
0.949 0.652 0.652
0.500 0.216 0.784
0.652 0.652 0.949
0.348 0.348 0.051
0.500 0.784 0.216
0.051 0.348 0.348
0.652 0.949 0.652
0.216 0.500 0.784
0.216 0.784 0.500
0.950 0.612 0.950
0.388 0.050 0.050
0.050 0.050 0.388
0.500 0.500 0.500
0.950 0.950 0.612
0.612 0.950 0.950
0.050 0.388 0.050
0.000 0.000 0.000
```

DOS(E_F) = 23.10 states/eV per cell



Which one sits at the top of the stability order? entry w does.



Entry w
Compound: Sm3Y8
Source: the Alexandria database
Functional: PBE
Structure: relaxed

Cell and atoms, written as POSCAR:
```
Sm3Y8
1.0
-2.900 -4.062 5.155
1.606 -6.194 -3.245
6.184 -0.858 3.535
Sm Y
3 8
direct
0.500 0.000 0.500
0.000 0.500 0.500
0.500 0.500 0.000
0.886 0.304 0.146
0.304 0.146 0.886
0.146 0.886 0.304
0.376 0.376 0.376
0.624 0.624 0.624
0.854 0.114 0.696
0.696 0.854 0.114
0.114 0.696 0.854
```

DOS(E_F) = 18.60 states/eV per cell



Entry x
Compound: Sm3Y8
Source: the Alexandria database
Functional: PBE
Structure: relaxed

Cell and atoms, written as POSCAR:
```
Sm3Y8
1.0
-1.117 -0.998 -3.262
-2.939 -2.031 -0.347
-19.410 25.449 -3.115
Sm Y
3 8
direct
0.273 0.273 0.182
0.727 0.727 0.818
0.000 0.000 0.000
0.182 0.182 0.455
0.364 0.364 0.909
0.636 0.636 0.091
0.818 0.818 0.545
0.545 0.545 0.364
0.091 0.091 0.727
0.909 0.909 0.273
0.455 0.455 0.636
```

DOS(E_F) = 15.78 states/eV per cell



Which one sits at the top of the stability order? entry x does.



Entry w
Compound: Sm2Y
Source: the Alexandria database
Functional: PBE
Structure: relaxed

Cell and atoms, written as POSCAR:
```
Sm2Y
1.0
-5.632 3.022 7.450
-1.554 -5.391 1.012
7.539 -4.952 1.241
Sm Y
8 4
direct
0.700 0.626 0.247
0.784 0.877 0.747
0.216 0.123 0.253
0.037 0.623 0.253
0.963 0.377 0.747
0.548 0.126 0.247
0.452 0.874 0.753
0.300 0.374 0.753
0.755 0.250 0.000
0.245 0.750 0.000
0.500 0.500 0.500
0.000 0.000 0.500
```

DOS(E_F) = 21.77 states/eV per cell



Entry x
Compound: Sm2Y
Source: the Alexandria database
Functional: PBE
Structure: relaxed

Cell and atoms, written as POSCAR:
```
Sm2Y
1.0
6.646 0.000 0.000
3.323 5.755 0.000
3.323 1.918 5.426
Y Sm
2 4
direct
0.000 0.000 0.000
0.250 0.250 0.250
0.125 0.625 0.625
0.625 0.125 0.625
0.625 0.625 0.625
0.625 0.625 0.125
```

DOS(E_F) = 10.07 states/eV per cell



Which one sits at the top of the stability order? entry w does.



Entry w
Compound: Sm2Y
Source: the Alexandria database
Functional: PBE
Structure: relaxed

Cell and atoms, written as POSCAR:
```
Sm2Y
1.0
-1.272 -0.089 3.376
-2.305 -2.614 -0.938
7.031 -3.931 0.617
Y Sm
1 2
direct
0.000 0.000 0.000
0.666 0.666 0.333
0.334 0.334 0.667
```

DOS(E_F) = 4.24 states/eV per cell



Entry x
Compound: Sm2Y
Source: the Alexandria database
Functional: PBE
Structure: relaxed

Cell and atoms, written as POSCAR:
```
Sm2Y
1.0
-1.101 0.163 3.319
0.924 -3.344 0.471
15.261 6.459 2.899
Sm Y
4 2
direct
0.578 0.578 0.157
0.672 0.172 0.343
0.422 0.422 0.843
0.828 0.328 0.657
0.000 0.000 0.000
0.250 0.750 0.500
```

DOS(E_F) = 9.66 states/eV per cell



Which one sits at the top of the stability order? entry w does.



Entry w
Compound: Sm3Y13
Source: the Alexandria database
Functional: PBE
Structure: relaxed

Cell and atoms, written as POSCAR:
```
Sm3Y13
1.0
7.166 0.010 0.000
-0.016 7.166 0.000
0.000 0.000 10.107
Sm Y
3 13
direct
0.000 0.000 0.250
0.750 0.250 0.000
0.000 0.000 0.750
0.500 0.000 0.250
0.500 0.500 0.251
0.000 0.500 0.250
0.749 0.749 0.000
0.251 0.251 0.000
0.250 0.750 0.000
0.500 0.000 0.750
0.500 0.500 0.749
0.000 0.500 0.750
0.750 0.250 0.500
0.750 0.750 0.500
0.250 0.250 0.500
0.250 0.750 0.500
```

DOS(E_F) = 20.69 states/eV per cell



Entry x
Compound: Sm3Y13
Source: the Alexandria database
Functional: PBE
Structure: relaxed

Cell and atoms, written as POSCAR:
```
Sm3Y13
1.0
7.327 0.000 0.000
0.000 8.462 -0.920
0.000 0.012 8.512
Sm Y
3 13
direct
0.749 0.041 0.959
0.000 0.292 0.708
0.251 0.041 0.959
0.750 0.957 0.540
0.750 0.542 0.458
0.750 0.460 0.043
0.000 0.707 0.791
0.000 0.209 0.293
0.000 0.791 0.209
0.250 0.957 0.540
0.250 0.542 0.458
0.250 0.460 0.043
0.500 0.292 0.708
0.500 0.708 0.790
0.500 0.210 0.292
0.500 0.791 0.209
```

DOS(E_F) = 30.98 states/eV per cell



Which one sits at the top of the stability order? entry x does.